## Fe2OsCl (GGA-PBE)

Data for an optimized crystal structure of Fe2OsCl.

Calculated values
Density of states at the Fermi level in states/eV/cell: 8.14

```
data_Fe2OsCl
_space_group_name_H-M_alt 'I m m m'
_space_group_IT_number 71
_space_group_name_Hall '-I 2 2'
_cell_length_a 2.785
_cell_length_b 4.428
_cell_length_c 8.642
_cell_angle_alpha 90.00
_cell_angle_beta 90.00
_cell_angle_gamma 90.00
loop_
_atom_site_label
_atom_site_type_symbol
_atom_site_fract_x
_atom_site_fract_y
_atom_site_fract_z
_atom_site_occupancy
Fe1 Fe 0.000 0.000 0.237 1
Os1 Os 0.000 0.500 0.000 1
Cl1 Cl 0.000 0.500 0.500 1
```

---

## Fe2OsCl (GGA-PBE)

Data for an optimized crystal structure of Fe2OsCl.

Calculated values
Density of states at the Fermi level in states/eV/cell: 4.96

```
data_Fe2OsCl
_space_group_name_H-M_alt 'P 4/m m m'
_space_group_IT_number 123
_space_group_name_Hall '-P 4 2'
_cell_length_a 4.615
_cell_length_b 4.615
_cell_length_c 2.708
_cell_angle_alpha 90.00
_cell_angle_beta 90.00
_cell_angle_gamma 90.00
loop_
_atom_site_label
_atom_site_type_symbol
_atom_site_fract_x
_atom_site_fract_y
_atom_site_fract_z
_atom_site_occupancy
Fe1 Fe 0.000 0.500 0.000 1
Os1 Os 0.000 0.000 0.500 1
Cl1 Cl 0.500 0.500 0.500 1
```

---

## FeOsCl2 (GGA-PBE)

Data for an optimized crystal structure of FeOsCl2.

Calculated values
Density of states at the Fermi level in states/eV/cell: 5.09

```
data_FeOsCl2
_space_group_name_H-M_alt 'C 1 m 1'
_space_group_IT_number 8
_cell_length_a 5.530
_cell_length_b 3.129
_cell_length_c 8.902
_cell_angle_alpha 90.00
_cell_angle_beta 96.77
_cell_angle_gamma 90.00
loop_
_space_group_symop_operation_xyz
'x,y,z'
'x,-y,z'
'x+1/2,y+1/2,z'
'x+1/2,-y+1/2,z'
loop_
_atom_site_label
_atom_site_type_symbol
_atom_site_fract_x
_atom_site_fract_y
_atom_site_fract_z
_atom_site_occupancy
Fe1 Fe 0.000 0.000 0.000 1
Os1 Os 0.140 0.500 0.813 1
Cl1 Cl 0.108 0.000 0.599 1
Cl2 Cl 0.346 0.000 0.182 1
```

---

## Fe2OsCl (GGA-PBE)

Data for an optimized crystal structure of Fe2OsCl.

Calculated values
Density of states at the Fermi level in states/eV/cell: 8.94

```
data_Fe2OsCl
_space_group_name_H-M_alt 'I m m 2'
_space_group_IT_number 44
_cell_length_a 2.768
_cell_length_b 4.486
_cell_length_c 9.043
_cell_angle_alpha 90.00
_cell_angle_beta 90.00
_cell_angle_gamma 90.00
loop_
_space_group_symop_operation_xyz
'x,y,z'
'-x,-y,z'
'-x,y,z'
'x,-y,z'
'x+1/2,y+1/2,z+1/2'
'-x+1/2,-y+1/2,z+1/2'
'-x+1/2,y+1/2,z+1/2'
'x+1/2,-y+1/2,z+1/2'
loop_
_atom_site_label
_atom_site_type_symbol
_atom_site_fract_x
_atom_site_fract_y
_atom_site_fract_z
_atom_site_occupancy
Fe1 Fe 0.000 0.000 0.000 1
Fe2 Fe 0.000 0.500 0.227 1
Os1 Os 0.000 0.000 0.482 1
Cl1 Cl 0.000 0.500 0.749 1
```

---

## Fe2OsCl (GGA-PBE)

Data for an optimized crystal structure of Fe2OsCl.

Calculated values
Density of states at the Fermi level in states/eV/cell: 26.72

```
data_Fe2OsCl
_space_group_name_H-M_alt 'F m -3 m'
_space_group_IT_number 225
_space_group_name_Hall '-F 4 2 3'
_cell_length_a 6.001
_cell_length_b 6.001
_cell_length_c 6.001
_cell_angle_alpha 90.00
_cell_angle_beta 90.00
_cell_angle_gamma 90.00
loop_
_atom_site_label
_atom_site_type_symbol
_atom_site_fract_x
_atom_site_fract_y
_atom_site_fract_z
_atom_site_occupancy
Fe1 Fe 0.250 0.250 0.250 1
Os1 Os 0.000 0.000 0.000 1
Cl1 Cl 0.000 0.000 0.500 1
```

---

## Fe2OsCl (GGA-PBE)

Data for an optimized crystal structure of Fe2OsCl.

Calculated values
Density of states at the Fermi level in states/eV/cell: 8.76

```
data_Fe2OsCl
_space_group_name_H-M_alt 'C 1 m 1'
_space_group_IT_number 8
_cell_length_a 7.903
_cell_length_b 2.821
_cell_length_c 6.412
_cell_angle_alpha 90.00
_cell_angle_beta 92.71
_cell_angle_gamma 90.00
loop_
_space_group_symop_operation_xyz
'x,y,z'
'x,-y,z'
'x+1/2,y+1/2,z'
'x+1/2,-y+1/2,z'
loop_
_atom_site_label
_atom_site_type_symbol
_atom_site_fract_x
_atom_site_fract_y
_atom_site_fract_z
_atom_site_occupancy
Fe1 Fe 0.000 0.000 0.000 1
Fe2 Fe 0.220 0.500 0.174 1
Os1 Os 0.448 0.000 0.325 1
Cl1 Cl 0.457 0.500 0.650 1
```

---

## FeOsCl2 (GGA-PBE)

Data for an optimized crystal structure of FeOsCl2.

Calculated values
Density of states at the Fermi level in states/eV/cell: 6.37

```
data_FeOsCl2
_space_group_name_H-M_alt 'I m m 2'
_space_group_IT_number 44
_cell_length_a 2.919
_cell_length_b 3.751
_cell_length_c 14.951
_cell_angle_alpha 90.00
_cell_angle_beta 90.00
_cell_angle_gamma 90.00
loop_
_space_group_symop_operation_xyz
'x,y,z'
'-x,-y,z'
'-x,y,z'
'x,-y,z'
'x+1/2,y+1/2,z+1/2'
'-x+1/2,-y+1/2,z+1/2'
'-x+1/2,y+1/2,z+1/2'
'x+1/2,-y+1/2,z+1/2'
loop_
_atom_site_label
_atom_site_type_symbol
_atom_site_fract_x
_atom_site_fract_y
_atom_site_fract_z
_atom_site_occupancy
Fe1 Fe 0.000 0.000 0.000 1
Os1 Os 0.000 0.500 0.642 1
Cl1 Cl 0.000 0.000 0.430 1
Cl2 Cl 0.000 0.500 0.183 1
```

---

## FeOs2Cl (GGA-PBE)

Data for an optimized crystal structure of FeOs2Cl.

Calculated values
Density of states at the Fermi level in states/eV/cell: 3.19

```
data_FeOs2Cl
_space_group_name_H-M_alt 'P 1 m 1'
_space_group_IT_number 6
_cell_length_a 2.834
_cell_length_b 2.821
_cell_length_c 7.642
_cell_angle_alpha 90.00
_cell_angle_beta 100.44
_cell_angle_gamma 90.00
loop_
_space_group_symop_operation_xyz
'x,y,z'
'x,-y,z'
loop_
_atom_site_label
_atom_site_type_symbol
_atom_site_fract_x
_atom_site_fract_y
_atom_site_fract_z
_atom_site_occupancy
Fe1 Fe 0.000 0.000 0.000 1
Os1 Os 0.234 0.000 0.475 1
Os2 Os 0.627 0.500 0.255 1
Cl1 Cl 0.378 0.500 0.765 1
```

---

## FeOs2Cl (GGA-PBE)

Data for an optimized crystal structure of FeOs2Cl.

Calculated values
Density of states at the Fermi level in states/eV/cell: 3.63

```
data_FeOs2Cl
_space_group_name_H-M_alt 'P m m m'
_space_group_IT_number 47
_cell_length_a 2.750
_cell_length_b 4.524
_cell_length_c 4.702
_cell_angle_alpha 90.00
_cell_angle_beta 90.00
_cell_angle_gamma 90.00
loop_
_space_group_symop_operation_xyz
'x,y,z'
'-x,-y,-z'
'-x,-y,z'
'x,y,-z'
'x,-y,-z'
'-x,y,z'
'-x,y,-z'
'x,-y,z'
loop_
_atom_site_label
_atom_site_type_symbol
_atom_site_fract_x
_atom_site_fract_y
_atom_site_fract_z
_atom_site_occupancy
Fe1 Fe 0.000 0.000 0.000 1
Os1 Os 0.000 0.500 0.500 1
Os2 Os 0.500 0.500 0.000 1
Cl1 Cl 0.500 0.000 0.500 1
```

---

## FeOsCl2 (GGA-PBE)

Data for an optimized crystal structure of FeOsCl2.

Calculated values
Density of states at the Fermi level in states/eV/cell: 7.28

```
data_FeOsCl2
_space_group_name_H-M_alt 'C 1 2/m 1'
_space_group_IT_number 12
_cell_length_a 5.765
_cell_length_b 8.050
_cell_length_c 2.874
_cell_angle_alpha 90.00
_cell_angle_beta 90.68
_cell_angle_gamma 90.00
loop_
_space_group_symop_operation_xyz
'x,y,z'
'-x,-y,-z'
'-x,y,-z'
'x,-y,z'
'x+1/2,y+1/2,z'
'-x+1/2,-y+1/2,-z'
'-x+1/2,y+1/2,-z'
'x+1/2,-y+1/2,z'
loop_
_atom_site_label
_atom_site_type_symbol
_atom_site_fract_x
_atom_site_fract_y
_atom_site_fract_z
_atom_site_occupancy
Fe1 Fe 0.000 0.000 0.000 1
Os1 Os 0.000 0.500 0.000 1
Cl1 Cl 0.250 0.250 0.000 1
```

---

## Fe2OsCl8 (GGA-PBE)

Data for an optimized crystal structure of Fe2OsCl8.

Calculated values
Density of states at the Fermi level in states/eV/cell: 6.06

```
data_Fe2OsCl8
_space_group_name_H-M_alt 'C 1 2/m 1'
_space_group_IT_number 12
_cell_length_a 14.270
_cell_length_b 7.712
_cell_length_c 5.906
_cell_angle_alpha 90.00
_cell_angle_beta 91.12
_cell_angle_gamma 90.00
loop_
_space_group_symop_operation_xyz
'x,y,z'
'-x,-y,-z'
'-x,y,-z'
'x,-y,z'
'x+1/2,y+1/2,z'
'-x+1/2,-y+1/2,-z'
'-x+1/2,y+1/2,-z'
'x+1/2,-y+1/2,z'
loop_
_atom_site_label
_atom_site_type_symbol
_atom_site_fract_x
_atom_site_fract_y
_atom_site_fract_z
_atom_site_occupancy
Fe1 Fe 0.148 0.000 0.392 1
Os1 Os 0.000 0.000 0.000 1
Cl1 Cl 0.068 0.225 0.228 1
Cl2 Cl 0.137 0.000 0.778 1
Cl3 Cl 0.204 0.500 0.666 1
```

---

## Fe2OsCl (GGA-PBE)

Data for an optimized crystal structure of Fe2OsCl.

Calculated values
Density of states at the Fermi level in states/eV/cell: 3.82

```
data_Fe2OsCl
_space_group_name_H-M_alt 'P 1 m 1'
_space_group_IT_number 6
_cell_length_a 2.960
_cell_length_b 2.913
_cell_length_c 6.894
_cell_angle_alpha 90.00
_cell_angle_beta 90.02
_cell_angle_gamma 90.00
loop_
_space_group_symop_operation_xyz
'x,y,z'
'x,-y,z'
loop_
_atom_site_label
_atom_site_type_symbol
_atom_site_fract_x
_atom_site_fract_y
_atom_site_fract_z
_atom_site_occupancy
Fe1 Fe 0.000 0.000 0.000 1
Fe2 Fe 0.500 0.500 0.203 1
Os1 Os 0.500 0.500 0.806 1
Cl1 Cl 0.498 0.000 0.486 1
```

---

## FeOsCl2 (GGA-PBE)

Data for an optimized crystal structure of FeOsCl2.

Calculated values
Density of states at the Fermi level in states/eV/cell: 11.71

```
data_FeOsCl2
_space_group_name_H-M_alt 'I -4 2 d'
_space_group_IT_number 122
_space_group_name_Hall 'I -4 2bw'
_cell_length_a 5.365
_cell_length_b 5.365
_cell_length_c 10.287
_cell_angle_alpha 90.00
_cell_angle_beta 90.00
_cell_angle_gamma 90.00
loop_
_atom_site_label
_atom_site_type_symbol
_atom_site_fract_x
_atom_site_fract_y
_atom_site_fract_z
_atom_site_occupancy
Fe1 Fe 0.000 0.000 0.000 1
Os1 Os 0.000 0.000 0.500 1
Cl1 Cl 0.238 0.250 0.125 1
```

---

## FeOsCl2 (GGA-PBE)

Data for an optimized crystal structure of FeOsCl2.

Calculated values
Density of states at the Fermi level in states/eV/cell: 4.06

```
data_FeOsCl2
_space_group_name_H-M_alt 'P m m m'
_space_group_IT_number 47
_cell_length_a 2.957
_cell_length_b 3.730
_cell_length_c 5.954
_cell_angle_alpha 90.00
_cell_angle_beta 90.00
_cell_angle_gamma 90.00
loop_
_space_group_symop_operation_xyz
'x,y,z'
'-x,-y,-z'
'-x,-y,z'
'x,y,-z'
'x,-y,-z'
'-x,y,z'
'-x,y,-z'
'x,-y,z'
loop_
_atom_site_label
_atom_site_type_symbol
_atom_site_fract_x
_atom_site_fract_y
_atom_site_fract_z
_atom_site_occupancy
Fe1 Fe 0.000 0.000 0.000 1
Os1 Os 0.000 0.000 0.500 1
Cl1 Cl 0.500 0.500 0.244 1
```

---

## Fe2OsCl (GGA-PBE)

Data for an optimized crystal structure of Fe2OsCl.

Calculated values
Density of states at the Fermi level in states/eV/cell: 10.68

```
data_Fe2OsCl
_space_group_name_H-M_alt 'I 4/m m m'
_space_group_IT_number 139
_space_group_name_Hall '-I 4 2'
_cell_length_a 3.823
_cell_length_b 3.823
_cell_length_c 7.794
_cell_angle_alpha 90.00
_cell_angle_beta 90.00
_cell_angle_gamma 90.00
loop_
_atom_site_label
_atom_site_type_symbol
_atom_site_fract_x
_atom_site_fract_y
_atom_site_fract_z
_atom_site_occupancy
Fe1 Fe 0.000 0.500 0.250 1
Os1 Os 0.000 0.000 0.000 1
Cl1 Cl 0.000 0.000 0.500 1
```

---

## FeOs2Cl (GGA-PBE)

Data for an optimized crystal structure of FeOs2Cl.

Calculated values
Density of states at the Fermi level in states/eV/cell: 7.52

```
data_FeOs2Cl
_space_group_name_H-M_alt 'C 1 m 1'
_space_group_IT_number 8
_cell_length_a 9.733
_cell_length_b 2.775
_cell_length_c 4.304
_cell_angle_alpha 90.00
_cell_angle_beta 92.94
_cell_angle_gamma 90.00
loop_
_space_group_symop_operation_xyz
'x,y,z'
'x,-y,z'
'x+1/2,y+1/2,z'
'x+1/2,-y+1/2,z'
loop_
_atom_site_label
_atom_site_type_symbol
_atom_site_fract_x
_atom_site_fract_y
_atom_site_fract_z
_atom_site_occupancy
Fe1 Fe 0.000 0.000 0.000 1
Os1 Os 0.073 0.500 0.535 1
Os2 Os 0.306 0.000 0.684 1
Cl1 Cl 0.283 0.500 0.205 1
```

---

## FeOsCl2 (GGA-PBE)

Data for an optimized crystal structure of FeOsCl2.

Calculated values
Density of states at the Fermi level in states/eV/cell: 4.41

```
data_FeOsCl2
_space_group_name_H-M_alt 'C 1 2/m 1'
_space_group_IT_number 12
_cell_length_a 14.326
_cell_length_b 2.931
_cell_length_c 4.268
_cell_angle_alpha 90.00
_cell_angle_beta 90.67
_cell_angle_gamma 90.00
loop_
_space_group_symop_operation_xyz
'x,y,z'
'-x,-y,-z'
'-x,y,-z'
'x,-y,z'
'x+1/2,y+1/2,z'
'-x+1/2,-y+1/2,-z'
'-x+1/2,y+1/2,-z'
'x+1/2,-y+1/2,z'
loop_
_atom_site_label
_atom_site_type_symbol
_atom_site_fract_x
_atom_site_fract_y
_atom_site_fract_z
_atom_site_occupancy
Fe1 Fe 0.000 0.000 0.000 1
Os1 Os 0.000 0.500 0.500 1
Cl1 Cl 0.139 0.500 0.239 1
```

---

## Fe2OsCl (GGA-PBE)

Data for an optimized crystal structure of Fe2OsCl.

Calculated values
Density of states at the Fermi level in states/eV/cell: 7.68

```
data_Fe2OsCl
_space_group_name_H-M_alt 'C m m m'
_space_group_IT_number 65
_space_group_name_Hall '-C 2 2'
_cell_length_a 5.324
_cell_length_b 7.758
_cell_length_c 2.749
_cell_angle_alpha 90.00
_cell_angle_beta 90.00
_cell_angle_gamma 90.00
loop_
_atom_site_label
_atom_site_type_symbol
_atom_site_fract_x
_atom_site_fract_y
_atom_site_fract_z
_atom_site_occupancy
Fe1 Fe 0.250 0.250 0.000 1
Os1 Os 0.000 0.000 0.500 1
Cl1 Cl 0.000 0.500 0.500 1
```

---

## FeOsCl2 (GGA-PBE)

Data for an optimized crystal structure of FeOsCl2.

Calculated values
Density of states at the Fermi level in states/eV/cell: 4.49

```
data_FeOsCl2
_space_group_name_H-M_alt 'P m m m'
_space_group_IT_number 47
_cell_length_a 2.844
_cell_length_b 4.121
_cell_length_c 5.649
_cell_angle_alpha 90.00
_cell_angle_beta 90.00
_cell_angle_gamma 90.00
loop_
_space_group_symop_operation_xyz
'x,y,z'
'-x,-y,-z'
'-x,-y,z'
'x,y,-z'
'x,-y,-z'
'-x,y,z'
'-x,y,-z'
'x,-y,z'
loop_
_atom_site_label
_atom_site_type_symbol
_atom_site_fract_x
_atom_site_fract_y
_atom_site_fract_z
_atom_site_occupancy
Fe1 Fe 0.000 0.000 0.000 1
Os1 Os 0.500 0.000 0.500 1
Cl1 Cl 0.000 0.500 0.500 1
Cl2 Cl 0.500 0.500 0.000 1
```

---

## FeOsCl2 (GGA-PBE)

Data for an optimized crystal structure of FeOsCl2.

Calculated values
Density of states at the Fermi level in states/eV/cell: 6.28

```
data_FeOsCl2
_space_group_name_H-M_alt 'C m m m'
_space_group_IT_number 65
_space_group_name_Hall '-C 2 2'
_cell_length_a 2.856
_cell_length_b 5.385
_cell_length_c 8.166
_cell_angle_alpha 90.00
_cell_angle_beta 90.00
_cell_angle_gamma 90.00
loop_
_atom_site_label
_atom_site_type_symbol
_atom_site_fract_x
_atom_site_fract_y
_atom_site_fract_z
_atom_site_occupancy
Fe1 Fe 0.000 0.000 0.000 1
Os1 Os 0.000 0.000 0.500 1
Cl1 Cl 0.000 0.500 0.238 1
```

---

The records above give, respectively, energy relative to the elements, uncorrected values of 0.84, 0.74, 0.14, 0.75, 1.10, 0.56, 0.59, 0.44, 0.97, 0.83, -0.59, 0.38, 0.99, 1.23, 1.09, 0.89, 0.29, 0.72, 0.85, 0.81 eV per atom.
The records above give, respectively, final energy values of -26.650, -27.052, -22.827, -27.009, -25.619, -27.766, -21.027, -31.026, -28.878, -20.070, -49.377, -28.465, -19.426, -18.447, -25.634, -29.204, -22.211, -27.140, -20.001, -20.143 eV per formula unit.